# 1
4
Lattice="2.688 0.000 0.000 0.000 4.194 0.000 0.000 0.000 5.312" Properties=species:S:1:pos:R:3 comment="Mg2BeOs | the Alexandria database | PBE | optimized geometry" magnetic_moment_mub_per_cell=0.000 n_ef_per_ev_fu=1.8 dft_energy_ev_per_atom=-4.23 space_group="No. 47" pbc="T T T"
Mg 0.000 0.000 1.312
Mg 0.000 0.000 4.000
Be 1.344 2.097 2.656
Os 1.344 2.097 0.000

***

# 2
10
Lattice="6.204 0.000 0.000 0.000 6.204 0.000 0.000 0.000 3.544" Properties=species:S:1:pos:R:3 comment="Cu2Si2Ir | the Alexandria database | PBE | optimized geometry" magnetic_moment_mub_per_cell=0.000 n_ef_per_ev_fu=1.9 space_group="No. 127" raw_formation_energy_mev_per_atom=-113 pbc="T T T"
Cu 0.961 2.141 0.000
Cu 2.141 5.243 0.000
Cu 4.062 0.961 0.000
Cu 5.243 4.062 0.000
Si 0.855 3.957 1.772
Si 2.247 0.855 1.772
Si 3.957 5.348 1.772
Si 5.348 2.247 1.772
Ir 0.000 0.000 1.772
Ir 3.102 3.102 1.772

***

# 3
8
Lattice="-4.047 4.047 2.886 4.047 -4.047 2.886 4.047 4.047 -2.886" Properties=species:S:1:pos:R:3 comment="Mg2TiPb | the Alexandria database | PBE | optimized geometry" magnetic_moment_mub_per_cell=0.000 n_ef_per_ev_fu=2.1 dft_energy_ev_per_atom=-3.33 space_group="No. 122" pbc="T T T"
Mg 6.070 2.016 -0.722
Mg 2.016 2.023 0.722
Mg -2.023 2.031 2.165
Mg 2.031 2.023 3.608
Ti 4.047 0.000 1.443
Ti 0.000 0.000 2.886
Pb 0.000 0.000 0.000
Pb 0.000 4.047 1.443